Material: MnAg2SbMo
Method: DFT, PBE-GGA
State: optimized geometry

Summary:
SG: No. 123
Mass density (kg/m3): 6194
Formation energy (no corrections) (eV/atom): 1.816

Cell: 5.0938 5.0460 5.0938 Å, 90.00 90.00 90.00°
Site moments in Bohr magnetons follow the coordinates.
Element x y z (fractional)
Sb  0.0000  0.5000  0.0000  0.01
Mo  0.0000  0.0000  0.0000  -0.14
Mn  0.5000  0.5000  0.5000  -0.42
Ag  0.0000  0.0000  0.5000  0.00
Ag  0.5000  0.0000  0.0000  0.00

---

Material: TaMnAg2Mo
Method: DFT, PBE-GGA
State: optimized geometry

Summary:
SG: No. 123
Energy of formation from the pure elements (eV per atom): 1.4827
Mass density (kg/m3): 9597

Cell: 4.7119 4.2674 4.7119 Å, 90.00 90.00 90.00°
Element x y z (fractional)
Mo  0.0000  0.5000  0.0000
Mn  0.0000  0.0000  0.0000
Ag  0.0000  0.0000  0.5000
Ag  0.5000  0.0000  0.0000
Ta  0.5000  0.5000  0.5000

---

Material: TaMnAgMo2
Method: DFT, PBE-GGA
State: optimized geometry

Summary:
SG: No. 123
Energy of formation from the pure elements (eV per atom): 1.0112
Mass density (kg/m3): 9707

Cell: 4.4569 4.6127 4.4569 Å, 90.00 90.00 90.00°
Element x y z (fractional)
Mo  0.0000  0.0000  0.5000
Mo  0.5000  0.0000  0.0000
Mn  0.0000  0.0000  0.0000
Ag  0.5000  0.5000  0.5000
Ta  0.0000  0.5000  0.0000

---

Material: MnAgTe2Mo
Method: DFT, PBE-GGA
State: optimized geometry

Summary:
SG: No. 123
Mass density (kg/m3): 5878
Formation energy (no corrections) (eV/atom): 1.317

Cell: 5.4740 4.8454 5.4740 Å, 90.00 90.00 90.00°
Site moments in Bohr magnetons follow the coordinates.
Element x y z (fractional)
Mn  0.0000  0.5000  0.0000  4.20
Mo  0.5000  0.5000  0.5000  3.64
Te  0.0000  0.0000  0.5000  -0.09
Te  0.5000  0.0000  0.0000  -0.11
Ag  0.0000  0.0000  0.0000  0.05

---

Material: TiMnAgMo2
Method: DFT, PBE-GGA
State: optimized geometry

Summary:
SG: No. 123
Energy of formation from the pure elements (eV per atom): 1.8303
Mass density (kg/m3): 6946

Cell: 4.4810 4.7926 4.4810 Å, 90.00 90.00 90.00°
Site moments in Bohr magnetons follow the coordinates.
Element x y z (fractional)
Mo  0.0000  0.0000  0.5000  -0.07
Mo  0.5000  0.0000  0.0000  -0.04
Mn  0.5000  0.5000  0.5000  -0.11
Ag  0.0000  0.5000  0.0000  0.01
Ti  0.0000  0.0000  0.0000  0.01

---

Material: YMnAgMo2
Method: DFT, PBE-GGA
State: optimized geometry

Summary:
SG: No. 123
Energy of formation from the pure elements (eV per atom): 2.3126
Mass density (kg/m3): 5823

Cell: 4.9701 5.1208 4.9701 Å, 90.00 90.00 90.00°
Site moments in Bohr magnetons follow the coordinates.
Element x y z (fractional)
Y  0.0000  0.5000  0.0000  -0.06
Mo  0.0000  0.0000  0.5000  -2.10
Mo  0.5000  0.0000  0.0000  -1.85
Mn  0.5000  0.5000  0.5000  -0.11
Ag  0.0000  0.0000  0.0000  -0.15